Entry from Alexandria via LeMat-Bulk: a relaxed structure of FeAs2HO6 (PBE+U).

CIF file:
```
data_FeAs2HO6
_chemical_formula_sum 'Fe4 As8 H4 O24'
_cell_length_a 10.7637
_cell_length_b 10.7654
_cell_length_c 5.7831
_cell_angle_alpha 90.00
_cell_angle_beta 107.00
_cell_angle_gamma 90.00
_space_group_name_H-M_alt 'C 1 2/c 1'
_space_group_IT_number 15
loop_
_space_group_symop_operation_xyz
'x,y,z'
'-x,-y,-z'
'-x,y,-z+1/2'
'x,-y,z+1/2'
'x+1/2,y+1/2,z'
'-x+1/2,-y+1/2,-z'
'-x+1/2,y+1/2,-z+1/2'
'x+1/2,-y+1/2,z+1/2'
loop_
_atom_site_label
_atom_site_fract_x
_atom_site_fract_y
_atom_site_fract_z
Fe1 0.0000 0.2305 0.2500
As1 0.1938 0.4093 0.6572
H1 0.0000 0.3010 0.7500
O1 0.0635 0.3006 0.6058
O2 0.1640 0.1644 0.2108
O3 0.1667 0.4656 0.3401
```

Values from the calculation:
Total magnetization: 3.945 μB/f.u.
Electronic total energy: -5.8758 eV/atom